The following is a DFT calculation (PBE) of a geometry-optimized AlHgSb2 structure.

Cell and atoms, written as CIF:
```
data_AlHgSb2
_symmetry_space_group_name_H-M 'P 1'
_symmetry_Int_Tables_number 1
_cell_length_a 12.604
_cell_length_b 3.882
_cell_length_c 4.386
_cell_angle_alpha 90.00
_cell_angle_beta 110.27
_cell_angle_gamma 90.00
loop_
_symmetry_equiv_pos_as_xyz
'x,y,z'
loop_
_atom_site_label
_atom_site_type_symbol
_atom_site_fract_x
_atom_site_fract_y
_atom_site_fract_z
Al1 Al 0.000 0.000 0.000
Al2 Al 0.500 0.500 0.000
Hg1 Hg 0.000 0.500 0.500
Hg2 Hg 0.500 0.000 0.500
Sb1 Sb 0.193 0.500 0.192
Sb2 Sb 0.307 0.000 0.808
Sb3 Sb 0.693 0.000 0.192
Sb4 Sb 0.807 0.500 0.808
```

Computed properties:
The calculation puts the distance to the lowest polymorph of the same formula at 0.095 eV/atom. The uncorrected formation energy comes out at 0.16 eV per atom. As for the space group: C2/m, No. 12. The total energy comes out at -0.10719 hartree per atom.